1.
# PrCd2N

A relaxed PrCd2N crystal (PBE, OQMD via LeMat-Bulk).

The structure in extended XYZ format:
```
8
Lattice="-1.485 -0.408 -3.006 -2.322 -7.521 2.168 -5.187 2.252 2.258" Properties=species:S:1:pos:R:3 pbc="T T T"
Cd -5.643 -3.988 3.330
Cd -1.903 -3.964 -0.418
Cd -4.498 -2.839 0.708
Cd -1.866 -1.281 1.096
Pr -4.904 0.607 0.443
Pr -4.090 -6.284 0.976
N -2.593 1.126 1.129
N 0.000 0.000 0.000
```

Properties
As for the symmetry: Pmma. The value obtained for the spin magnetization is 0.0 μB/f.u. For the density, the calculation gives 7.51 g/cm3.

---

2.
# BaBe2Hg

A relaxed BaBe2Hg crystal (PBE, OQMD via LeMat-Bulk).

The structure in extended XYZ format:
```
4
Lattice="-0.743 -2.043 4.621 -3.133 -3.995 0.553 1.908 -4.610 1.091" Properties=species:S:1:pos:R:3 pbc="T T T"
Ba -0.984 -5.324 3.132
Be 0.000 0.000 0.000
Be -1.476 -7.986 4.699
Hg -0.492 -2.662 1.566
```

Properties
As for the symmetry: F-43m. For the density, the calculation gives 6.28 g/cm3.

---

3.
# Dy2Tm

A relaxed Dy2Tm crystal (PBE, OQMD via LeMat-Bulk).

The structure in extended XYZ format:
```
3
Lattice="0.000 3.792 3.792 3.792 0.000 3.792 3.792 3.792 0.000" Properties=species:S:1:pos:R:3 pbc="T T T"
Dy 5.688 5.688 5.688
Dy 1.896 1.896 1.896
Tm 0.000 0.000 0.000
```

Properties
As for the symmetry: Fm-3m. The value obtained for the spin magnetization is 0.0 μB/f.u. As for the formation energy: 0.7177 eV per atom. For the density, the calculation gives 7.52 g/cm3. The offset from the most stable computed form is 0.696 eV/atom.

---

4.
# LuThSb

A relaxed LuThSb crystal (PBE, OQMD via LeMat-Bulk).

The structure in extended XYZ format:
```
3
Lattice="0.000 3.634 3.634 3.634 0.000 3.634 3.634 3.634 0.000" Properties=species:S:1:pos:R:3 pbc="T T T"
Sb 0.000 0.000 0.000
Th 5.450 5.450 5.450
Lu 1.817 1.817 1.817
```

Properties
As for the symmetry: F-43m. The value obtained for the spin magnetization is 0.5 μB/f.u. For the density, the calculation gives 9.15 g/cm3.

---

5.
# ZrZnNO

A relaxed ZrZnNO crystal (PBE, OQMD via LeMat-Bulk).

The structure in extended XYZ format:
```
16
Lattice="-2.203 -0.426 3.786 -4.475 -3.670 -3.017 4.071 -6.325 1.656" Properties=species:S:1:pos:R:3 pbc="T T T"
Zr 2.139 -4.439 1.072
Zr -0.468 -5.886 1.951
Zr -3.926 -5.824 -0.054
Zr -1.320 -4.377 -0.933
O -2.526 -5.976 -1.813
O 0.737 -4.287 2.833
O 0.418 -5.239 -0.018
O -2.207 -5.024 1.037
N -1.482 -2.373 -0.817
N -1.079 -1.353 2.090
N -0.292 -7.887 1.812
N -0.695 -8.907 -1.095
Zn -0.352 -0.843 -0.233
Zn -2.562 -1.965 0.913
Zn 0.999 -8.254 -0.281
Zn -1.211 -9.377 0.865
```

Properties
As for the symmetry: Pca2_1. The value obtained for the spin magnetization is 0.0 μB/f.u. For the density, the calculation gives 5.60 g/cm3. The offset from the most stable computed form is 0.127 eV/atom.

---

6.
# Er3Si13Ir4

A relaxed Er3Si13Ir4 crystal (PBE, OQMD via LeMat-Bulk).

The structure in extended XYZ format:
```
40
Lattice="8.737 0.000 0.000 0.000 8.737 0.000 0.000 0.000 8.737" Properties=species:S:1:pos:R:3 pbc="T T T"
Ir 6.553 6.553 2.184
Ir 2.184 6.553 6.553
Ir 6.553 6.553 6.553
Ir 6.553 2.184 2.184
Ir 2.184 2.184 6.553
Ir 6.553 2.184 6.553
Ir 2.184 6.553 2.184
Ir 2.184 2.184 2.184
Er 0.000 4.368 2.184
Er 6.553 0.000 4.368
Er 2.184 0.000 4.368
Er 4.368 2.184 0.000
Er 0.000 4.368 6.553
Er 4.368 6.553 0.000
Si 0.000 7.542 2.553
Si 5.563 4.368 6.921
Si 1.816 3.174 4.368
Si 2.553 0.000 7.542
Si 6.184 0.000 1.194
Si 0.000 0.000 0.000
Si 1.194 6.184 0.000
Si 4.368 1.816 5.563
Si 6.184 0.000 7.542
Si 4.368 4.368 4.368
Si 2.553 0.000 1.194
Si 6.921 3.174 4.368
Si 4.368 6.921 3.174
Si 3.174 4.368 1.816
Si 1.816 5.563 4.368
Si 0.000 7.542 6.184
Si 0.000 1.194 2.553
Si 7.542 2.553 0.000
Si 5.563 4.368 1.816
Si 7.542 6.184 0.000
Si 4.368 1.816 3.174
Si 0.000 1.194 6.184
Si 3.174 4.368 6.921
Si 6.921 5.563 4.368
Si 4.368 6.921 5.563
Si 1.194 2.553 0.000
```

Properties
As for the symmetry: Pm-3n. The value obtained for the spin magnetization is 0.0 μB/f.u. For the density, the calculation gives 8.15 g/cm3.

---

7.
# AcPaAu

A relaxed AcPaAu crystal (PBE, OQMD via LeMat-Bulk).

The structure in extended XYZ format:
```
3
Lattice="0.000 3.577 3.577 3.577 0.000 3.577 3.577 3.577 0.000" Properties=species:S:1:pos:R:3 pbc="T T T"
Au 5.365 5.365 5.365
Pa 0.000 0.000 0.000
Ac 1.788 1.788 1.788
```

Properties
As for the symmetry: F-43m. The value obtained for the spin magnetization is 1.1 μB/f.u. As for the formation energy: 0.5059 eV per atom. For the density, the calculation gives 11.89 g/cm3.

---

8.
# KPuCl6

A relaxed KPuCl6 crystal (PBE, OQMD via LeMat-Bulk).

The structure in extended XYZ format:
```
8
Lattice="0.000 5.632 5.632 5.632 0.000 5.632 5.632 5.632 0.000" Properties=species:S:1:pos:R:3 pbc="T T T"
Cl 2.515 5.632 5.632
Cl 5.632 5.632 2.515
Cl 5.632 5.632 8.749
Cl 8.749 5.632 5.632
Cl 5.632 8.749 5.632
Cl 5.632 2.515 5.632
K 5.632 5.632 5.632
Pu 0.000 0.000 0.000
```

Properties
As for the symmetry: Fm-3m. The value obtained for the spin magnetization is 3.0 μB/f.u. For the density, the calculation gives 2.30 g/cm3.

---

| no. | total DFT energy (no corrections) (eV per formula unit) |
| --- | --- |
| 1 | -16.65 |
| 2 | -7.08 |
| 3 | -11.52 |
| 4 | -16.72 |
| 5 | -28.08 |
| 6 | -131.62 |
| 7 | -15.35 |
| 8 | -38.87 |